Record 1
YMnCr2 | PBE-GGA | relaxed

Results
total moment: 0.92 μB per atom

abc: 3.0381 3.0381 7.2175
angles: 90.00 90.00 90.00
Fractional positions:
Mn 0.0000 0.0000 0.4426
Y 0.5000 0.5000 0.7449
Cr 0.0000 0.0000 0.0643
Cr 0.5000 0.5000 0.2482

Record 2
Y2MnCr | PBE-GGA | relaxed

Results
total moment: 1.75 μB per atom

abc: 9.6305 9.6305 9.6305
angles: 20.41 20.41 20.41
Fractional positions:
Mn 0.7500 0.7500 0.7500
Cr 0.2500 0.2500 0.2500
Y 0.4997 0.4997 0.4997
Y 0.0003 0.0003 0.0003

Record 3
YMnCr | PBE-GGA | relaxed

Results
total moment: 2.57 μB per atom

abc: 4.7314 4.7314 4.7314
angles: 60.00 60.00 60.00
Fractional positions:
Y 0.7500 0.7500 0.7500
Mn 0.5000 0.5000 0.5000
Cr 0.0000 0.0000 0.0000

Record 4
YMnCr2 | PBE-GGA | relaxed

Results
total moment: 0.73 μB per atom

abc: 8.9059 8.9059 8.9059
angles: 19.71 19.71 19.71
Fractional positions:
Cr 0.5153 0.5153 0.5153
Cr 0.9847 0.9847 0.9847
Y 0.7500 0.7500 0.7500
Mn 0.2500 0.2500 0.2500

Record 5
Y2MnCr | PBE-GGA | relaxed

Results
total moment: 1.46 μB per atom

abc: 4.6502 3.4907 5.9438
angles: 72.90 90.00 90.00
Fractional positions:
Cr 0.0000 0.6924 0.4905
Y 0.0000 0.9742 0.9267
Mn 0.5000 0.5578 0.7589
Y 0.5000 0.2756 0.3239

Record 6
YMn2Cr2 | PBE-GGA | relaxed

Results
total moment: 0.00 μB per atom

abc: 4.0201 4.0201 5.4706
angles: 68.44 68.44 90.00
Fractional positions:
Mn 0.7500 0.2500 0.5000
Mn 0.2500 0.7500 0.5000
Cr 0.3694 0.3694 0.2613
Y 0.0000 0.0000 0.0000
Cr 0.6306 0.6306 0.7387

Record 7
Y4MnCr | PBE-GGA | relaxed

Results
total moment: 1.40 μB per atom

abc: 6.2610 6.2610 6.2610
angles: 60.00 60.00 60.00
Fractional positions:
Cr 0.7500 0.7500 0.7500
Y 0.3748 0.8756 0.3748
Mn 0.0000 0.0000 0.0000
Y 0.3748 0.3748 0.8756
Y 0.8756 0.3748 0.3748
Y 0.3748 0.3748 0.3748

Record 8
YMnCr2 | PBE-GGA | relaxed

Results
total moment: 0.00 μB per atom

abc: 4.5872 4.5872 5.2005
angles: 73.92 73.92 39.49
Fractional positions:
Mn 0.2500 0.2500 0.2500
Cr 0.5422 0.5422 0.3732
Cr 0.9578 0.9578 0.1268
Y 0.7500 0.7500 0.7500

Record 9
YMnCr2 | PBE-GGA | relaxed

Results
total moment: 0.00 μB per atom

abc: 4.4065 4.4065 8.3831
angles: 74.76 74.76 90.00
Fractional positions:
Cr 0.3750 0.6250 0.7500
Mn 0.2500 0.7500 0.5000
Cr 0.3750 0.1250 0.2500
Mn 0.5000 0.5000 0.0000
Cr 0.8750 0.6250 0.7500
Cr 0.3750 0.6250 0.2500
Y 0.0000 0.0000 0.0000
Y 0.7500 0.2500 0.5000

Record 10
MnZnCr2 | PBE-GGA | relaxed

Results
total moment: 0.00 μB per atom

abc: 4.7431 4.7431 4.7431
angles: 144.67 128.55 63.95
Fractional positions:
Cr 0.7500 0.2500 0.5000
Cr 0.9821 0.9821 0.0000
Zn 0.2514 0.7514 0.5000
Mn 0.5165 0.5165 0.0000

Record 11
MnZnCr2 | PBE-GGA | relaxed

Results
total moment: 0.74 μB per atom

abc: 4.1530 4.1530 4.1530
angles: 120.01 120.01 89.99
Fractional positions:
Mn 0.5000 0.5000 0.0000
Zn 0.7500 0.2500 0.5000
Cr 0.0000 0.0000 0.0000
Cr 0.2500 0.7500 0.5000

Record 12
MnZnCr2 | PBE-GGA | relaxed

Results
total moment: 0.68 μB per atom

abc: 2.9455 2.9455 5.9950
angles: 90.00 90.00 90.00
Fractional positions:
Mn 0.5000 0.5000 0.2500
Cr 0.0000 0.0000 0.0158
Zn 0.5000 0.5000 0.7500
Cr 0.0000 0.0000 0.4842

Record 13
MnZnCr | PBE-GGA | relaxed

Results
total moment: 0.37 μB per atom

abc: 6.5825 6.4180 2.5079
angles: 82.59 75.21 22.20
Fractional positions:
Cr 0.9914 0.9914 0.0086
Mn 0.3410 0.3410 0.6590
Zn 0.6676 0.6676 0.3324

Record 14
MnZnCr | PBE-GGA | relaxed

Results
total moment: 0.81 μB per atom

abc: 6.1746 6.1746 6.1746
angles: 156.43 156.43 33.58
Fractional positions:
Zn 0.6675 0.6675 0.0000
Cr 0.9959 0.9959 0.0000
Mn 0.3366 0.3366 0.0000

Record 15
MnZnCr2 | PBE-GGA | relaxed

Results
total moment: 0.29 μB per atom

abc: 2.4863 2.4863 8.2471
angles: 90.00 90.00 109.06
Fractional positions:
Cr 0.0000 0.0000 0.0137
Mn 0.0000 0.0000 0.4866
Cr 0.5000 0.5000 0.2517
Zn 0.5000 0.5000 0.7480

Record 16
MnZnCr2 | PBE-GGA | relaxed

Results
total moment: 0.00 μB per atom

abc: 8.5011 8.5011 8.5011
angles: 17.51 17.51 17.51
Fractional positions:
Cr 0.2463 0.2463 0.2463
Zn 0.7520 0.7520 0.7520
Cr 0.9956 0.9956 0.9956
Mn 0.5061 0.5061 0.5061

Record 17
MnZnCr2 | PBE-GGA | relaxed

Results
total moment: 0.43 μB per atom

abc: 4.6940 4.6940 2.4505
angles: 90.00 90.00 116.07
Fractional positions:
Cr 0.0000 0.0000 0.0000
Cr 0.5000 0.5000 0.0000
Mn 0.5000 0.0000 0.5000
Zn 0.0000 0.5000 0.5000

Record 18
Mn2ZnCr | PBE-GGA | relaxed

Results
total moment: 0.55 μB per atom

abc: 2.9692 2.9692 5.8350
angles: 90.00 90.00 90.00
Fractional positions:
Mn 0.5000 0.5000 0.2404
Zn 0.0000 0.0000 0.4992
Mn 0.0000 0.0000 0.9922
Cr 0.5000 0.5000 0.7682

Record 19
Mn2ZnCr | PBE-GGA | relaxed

Results
total moment: 0.56 μB per atom

abc: 4.8256 4.8256 2.4799
angles: 78.56 78.56 116.18
Fractional positions:
Zn 0.5000 0.0000 0.5000
Mn 0.5000 0.5000 0.0000
Cr 0.0000 0.5000 0.5000
Mn 0.0000 0.0000 0.0000

Record 20
MnZnCr | PBE-GGA | relaxed

Results
total moment: 0.29 μB per atom

abc: 4.1052 4.1052 2.5320
angles: 90.00 90.00 120.00
Fractional positions:
Cr 0.0000 0.0000 0.0558
Mn 0.3333 0.6667 0.2878
Zn 0.6667 0.3333 0.6564

Record 21
Mn2ZnCr2 | PBE-GGA | relaxed

Results
total moment: 0.10 μB per atom

abc: 6.8658 6.8658 2.7178
angles: 90.00 90.00 90.00
Fractional positions:
Zn 0.5000 0.5000 0.0000
Mn 0.1399 0.3601 0.0000
Mn 0.6399 0.1399 0.0000
Cr 0.6578 0.8422 0.5000
Cr 0.1578 0.6578 0.5000
Mn 0.3601 0.8601 0.0000
Cr 0.3422 0.1578 0.5000
Cr 0.8422 0.3422 0.5000
Zn 0.0000 0.0000 0.0000
Mn 0.8601 0.6399 0.0000

Record 22
Mn2ZnCr | PBE-GGA | relaxed

Results
total moment: 0.56 μB per atom

abc: 2.4991 2.4991 8.1808
angles: 90.00 90.00 110.36
Fractional positions:
Mn 0.0000 0.0000 0.9854
Mn 0.0000 0.0000 0.5146
Cr 0.5000 0.5000 0.7500
Zn 0.5000 0.5000 0.2500

Record 23
Mn2ZnCr | PBE-GGA | relaxed

Results
total moment: 0.73 μB per atom

abc: 4.7271 4.7271 4.7271
angles: 135.28 135.28 65.10
Fractional positions:
Mn 0.2500 0.7500 0.5000
Zn 0.5000 0.5000 0.0000
Cr 0.7500 0.2500 0.5000
Mn 0.0000 0.0000 0.0000

Record 24
MnZn4Cr | PBE-GGA | relaxed

Results
total moment: 1.24 μB per atom

abc: 5.0157 5.0157 5.0157
angles: 60.00 60.00 60.00
Fractional positions:
Zn 0.3749 0.3749 0.3749
Cr 0.7500 0.7500 0.7500
Zn 0.3749 0.8753 0.3749
Zn 0.8753 0.3749 0.3749
Zn 0.3749 0.3749 0.8753
Mn 0.0000 0.0000 0.0000

Record 25
Mn2ZnCr | PBE-GGA | relaxed

Results
total moment: 0.27 μB per atom

abc: 8.4460 8.4460 8.4460
angles: 17.54 17.54 17.54
Fractional positions:
Mn 0.4949 0.4949 0.4949
Mn 0.0051 0.0051 0.0051
Cr 0.7500 0.7500 0.7500
Zn 0.2500 0.2500 0.2500

Record 26
MnZnCr2 | PBE-GGA | relaxed

Results
total moment: 0.00 μB per atom

abc: 6.5235 6.5235 5.2277
angles: 51.40 51.40 90.00
Fractional positions:
Mn 0.5000 0.5000 0.0000
Cr 0.5781 0.1250 0.2500
Cr 0.8750 0.8281 0.7500
Cr 0.1719 0.6250 0.2500
Mn 0.2500 0.7500 0.5000
Zn 0.0000 0.0000 0.0000
Zn 0.7500 0.2500 0.5000
Cr 0.3750 0.4219 0.7500

Record 27
Mn2ZnCr | PBE-GGA | relaxed

Results
total moment: 0.12 μB per atom

abc: 2.5607 2.5607 7.4203
angles: 90.00 90.00 90.00
Fractional positions:
Zn 0.0000 0.0000 0.4957
Mn 0.0000 0.0000 0.0078
Mn 0.5000 0.5000 0.2321
Cr 0.5000 0.5000 0.7644

Record 28
MnZnCr2 | PBE-GGA | relaxed

Results
total moment: 0.72 μB per atom

abc: 2.9286 2.9286 5.9067
angles: 90.00 90.00 90.00
Fractional positions:
Mn 0.0000 0.0000 0.4855
Cr 0.5000 0.5000 0.2468
Zn 0.5000 0.5000 0.7480
Cr 0.0000 0.0000 0.0196

Record 29
Mn2ZnCr | PBE-GGA | relaxed

Results
total moment: 0.21 μB per atom

abc: 2.5618 3.6702 5.2036
angles: 90.00 90.00 90.00
Fractional positions:
Zn 0.0000 0.0000 0.4986
Mn 0.5000 0.5000 0.2428
Cr 0.5000 0.5000 0.7609
Mn 0.0000 0.0000 0.9977

Record 30
Mn3ZnCr | PBE-GGA | relaxed

Results
total moment: 1.37 μB per atom

abc: 4.5576 4.5576 4.5576
angles: 90.00 90.00 90.00
Fractional positions:
Mn 0.0000 0.5000 0.0000
Mn 0.0000 0.0000 0.5000
Mn 0.5000 0.0000 0.0000
Cr 0.5000 0.5000 0.5000
Zn 0.0000 0.0000 0.0000

Mass density, record by record: 6.2; 5.0; 4.3; 5.9; 5.1; 6.7; 4.4; 6.2; 5.4; 7.8; 7.4; 7.2; 7.7; 7.6; 7.7; 7.7; 7.7; 7.3; 7.9; 7.7; 7.2; 7.9; 7.3; 6.9; 7.9; 7.1; 7.8; 7.4; 7.7; 5.0 g/cm3
E_form, record by record: 0.29; 0.58; 1.33; 0.69; 0.33; 0.19; 0.86; 0.44; 0.82; 0.19; 0.13; 0.16; 0.16; 0.22; 0.12; 0.26; 0.25; 0.13; 0.20; 0.13; 0.22; 0.13; 0.13; 0.18; 0.20; 0.61; 0.15; 0.08; 0.17; 1.11 eV/atom
Calculated total energy, record by record: -33.7; -29.4; -21.3; -32.1; -30.4; -43.1; -39.5; -33.1; -63.2; -28.9; -29.2; -29.0; -19.6; -19.4; -29.2; -28.6; -28.7; -28.7; -28.4; -19.7; -75.5; -28.7; -28.7; -22.8; -28.5; -54.5; -28.6; -29.4; -28.6; -32.9 eV/cell